VASP calculation (PBE) on U2Tl3AgO9 after structural relaxation.

The energy is -104.46 eV/cell. The calculation puts the total magnetic moment at 2.02 μB/cell.

The space group is P-3m1 (No. 164) and the conventional cell measures 6.1023, 6.1023 and 7.5124 Å, with angles of 90.00, 90.00 and 120.00 degrees. The distinct sites, in fractional coordinates, are U at (0.3333, 0.6667, 0.1690), Tl at (0.0000, 0.0000, 0.0000), Tl at (0.3333, 0.6667, 0.6523), Ag at (0.0000, 0.0000, 0.5000), O at (0.0000, 0.5000, 0.0000) and O at (0.1743, 0.3486, 0.3185).